The following is a PBE+U calculation of an optimized crystal structure of CuNiHgF6, from Alexandria via LeMat-Bulk.

Calculated values
Total DFT energy (no corrections) ... -3.67 eV/atom
Crystal system ... tetragonal

Cell: 4.9019 4.9019 10.0306 Å, 90.00 90.00 90.00°
Fractional coordinates of all 18 atoms:
Cu1 0.0000 0.0000 0.0000
Cu2 0.5000 0.5000 0.5000
Ni1 0.0000 0.0000 0.6622
Ni2 0.5000 0.5000 0.1622
Hg1 0.0000 0.0000 0.3299
Hg2 0.5000 0.5000 0.8299
F1 0.1759 0.1759 0.8269
F2 0.2108 0.2108 0.1472
F3 0.2117 0.2117 0.5139
F4 0.2883 0.7117 0.0139
F5 0.2892 0.7108 0.6472
F6 0.3241 0.6759 0.3269
F7 0.6759 0.3241 0.3269
F8 0.7108 0.2892 0.6472
F9 0.7117 0.2883 0.0139
F10 0.7883 0.7883 0.5139
F11 0.7892 0.7892 0.1472
F12 0.8241 0.8241 0.8269